The following is a DFT calculation (PBE) of Rb6Ta4S25 after structural relaxation.

Output
Formation energy from raw total energies (meV per atom): -793
Volume (Å³ per cell): 2082
Electronic total energy (eV per cell): -368.3
Magnetization (μB per atom): 0.000

CIF file:
```
data_Rb6Ta4S25
_chemical_formula_sum 'Rb12 Ta8 S50'
_cell_length_a 19.307
_cell_length_b 19.307
_cell_length_c 13.380
_cell_angle_alpha 80.60
_cell_angle_beta 80.60
_cell_angle_gamma 25.04
_symmetry_space_group_name_H-M 'P 1'
_symmetry_Int_Tables_number 1
loop_
_symmetry_equiv_pos_as_xyz
'x,y,z'
loop_
_atom_site_label
_atom_site_fract_x
_atom_site_fract_y
_atom_site_fract_z
_atom_site_occupancy
Ta1 0.882 0.473 0.911 1
Ta2 0.782 0.393 0.054 1
Ta3 0.527 0.118 0.589 1
Ta4 0.607 0.218 0.446 1
Ta5 0.473 0.882 0.411 1
Ta6 0.118 0.527 0.089 1
Ta7 0.218 0.607 0.946 1
Ta8 0.393 0.782 0.554 1
S1 0.672 0.566 0.898 1
S2 0.364 0.181 0.515 1
S3 0.532 0.066 0.753 1
S4 0.235 0.385 0.548 1
S5 0.446 0.453 0.380 1
S6 0.566 0.672 0.398 1
S7 0.220 0.149 0.488 1
S8 0.385 0.235 0.048 1
S9 0.369 0.785 0.376 1
S10 0.215 0.631 0.124 1
S11 0.468 0.934 0.247 1
S12 0.206 0.064 0.441 1
S13 0.434 0.328 0.602 1
S14 0.631 0.215 0.624 1
S15 0.453 0.446 0.880 1
S16 0.230 0.485 0.882 1
S17 0.780 0.851 0.512 1
S18 0.037 0.051 0.714 1
S19 0.078 0.697 0.802 1
S20 0.154 0.846 0.250 1
S21 0.328 0.434 0.102 1
S22 0.064 0.206 0.941 1
S23 0.877 0.036 0.433 1
S24 0.934 0.468 0.747 1
S25 0.697 0.078 0.302 1
S26 0.819 0.636 0.985 1
S27 0.123 0.964 0.567 1
S28 0.615 0.765 0.952 1
S29 0.636 0.819 0.485 1
S30 0.785 0.369 0.876 1
S31 0.485 0.230 0.382 1
S32 0.303 0.922 0.698 1
S33 0.963 0.949 0.286 1
S34 0.515 0.770 0.618 1
S35 0.794 0.936 0.559 1
S36 0.770 0.515 0.118 1
S37 0.036 0.877 0.933 1
S38 0.181 0.364 0.015 1
S39 0.554 0.547 0.620 1
S40 0.936 0.794 0.059 1
S41 0.964 0.123 0.067 1
S42 0.949 0.963 0.786 1
S43 0.149 0.220 0.988 1
S44 0.066 0.532 0.253 1
S45 0.846 0.154 0.750 1
S46 0.051 0.037 0.214 1
S47 0.922 0.303 0.198 1
S48 0.547 0.554 0.120 1
S49 0.851 0.780 0.012 1
S50 0.765 0.615 0.452 1
Rb1 0.631 0.299 0.119 1
Rb2 0.360 0.061 0.738 1
Rb3 0.349 0.901 0.139 1
Rb4 0.939 0.640 0.762 1
Rb5 0.369 0.701 0.881 1
Rb6 0.651 0.099 0.861 1
Rb7 0.299 0.631 0.619 1
Rb8 0.640 0.939 0.262 1
Rb9 0.901 0.349 0.639 1
Rb10 0.061 0.360 0.238 1
Rb11 0.701 0.369 0.381 1
Rb12 0.099 0.651 0.361 1
```